No. 1
# Mg7Tl12Pb | Alexandria | PBE | relaxed
data_Mg7Tl12Pb
_symmetry_space_group_name_H-M 'P 1'
_symmetry_Int_Tables_number 1
_symmetry_space_group_name_Hall 'P 1'
_cell_length_a 10.537
_cell_length_b 10.537
_cell_length_c 10.537
_cell_angle_alpha 116.30
_cell_angle_beta 116.30
_cell_angle_gamma 116.30
loop_
_atom_site_label
_atom_site_type_symbol
_atom_site_fract_x
_atom_site_fract_y
_atom_site_fract_z
Mg1 Mg 0.000 0.000 0.000
Mg2 Mg 0.160 0.392 0.462
Mg3 Mg 0.392 0.462 0.160
Mg4 Mg 0.462 0.160 0.392
Mg5 Mg 0.538 0.840 0.608
Mg6 Mg 0.608 0.538 0.840
Mg7 Mg 0.840 0.608 0.538
Tl1 Tl 0.014 0.365 0.068
Tl2 Tl 0.068 0.014 0.365
Tl3 Tl 0.132 0.684 0.504
Tl4 Tl 0.316 0.496 0.868
Tl5 Tl 0.365 0.068 0.014
Tl6 Tl 0.496 0.868 0.316
Tl7 Tl 0.504 0.132 0.684
Tl8 Tl 0.635 0.932 0.986
Tl9 Tl 0.684 0.504 0.132
Tl10 Tl 0.868 0.316 0.496
Tl11 Tl 0.932 0.986 0.635
Tl12 Tl 0.986 0.635 0.932
Pb1 Pb 0.500 0.500 0.500
# SG = R-3

No. 2
# Mg2Tl3Pb3 | Alexandria | PBE | relaxed
data_Mg2Tl3Pb3
_symmetry_space_group_name_H-M 'P 1'
_symmetry_Int_Tables_number 1
_symmetry_space_group_name_Hall 'P 1'
_cell_length_a 8.733
_cell_length_b 8.733
_cell_length_c 3.517
_cell_angle_alpha 90.00
_cell_angle_beta 90.00
_cell_angle_gamma 120.00
loop_
_atom_site_label
_atom_site_type_symbol
_atom_site_fract_x
_atom_site_fract_y
_atom_site_fract_z
Mg1 Mg 0.333 0.667 0.000
Mg2 Mg 0.667 0.333 0.000
Tl1 Tl 0.000 0.233 0.000
Tl2 Tl 0.233 0.000 0.000
Tl3 Tl 0.767 0.767 0.000
Pb1 Pb 0.000 0.587 0.500
Pb2 Pb 0.413 0.413 0.500
Pb3 Pb 0.587 0.000 0.500
# SG = P-62m

No. 3
# MgTl2Pb | Alexandria | PBE | relaxed
data_MgTl2Pb
_symmetry_space_group_name_H-M 'P 1'
_symmetry_Int_Tables_number 1
_symmetry_space_group_name_Hall 'P 1'
_cell_length_a 3.501
_cell_length_b 3.501
_cell_length_c 9.242
_cell_angle_alpha 90.00
_cell_angle_beta 90.00
_cell_angle_gamma 90.00
loop_
_atom_site_label
_atom_site_type_symbol
_atom_site_fract_x
_atom_site_fract_y
_atom_site_fract_z
Mg1 Mg 0.000 0.000 0.000
Tl1 Tl 0.000 0.000 0.503
Tl2 Tl 0.500 0.500 0.779
Pb1 Pb 0.500 0.500 0.225
# SG = P4mm

No. 4
# Mg7TlPb12 | Alexandria | PBE | relaxed
data_Mg7TlPb12
_symmetry_space_group_name_H-M 'P 1'
_symmetry_Int_Tables_number 1
_symmetry_space_group_name_Hall 'P 1'
_cell_length_a 8.873
_cell_length_b 8.873
_cell_length_c 8.873
_cell_angle_alpha 107.79
_cell_angle_beta 107.79
_cell_angle_gamma 107.79
loop_
_atom_site_label
_atom_site_type_symbol
_atom_site_fract_x
_atom_site_fract_y
_atom_site_fract_z
Mg1 Mg 0.000 0.000 0.000
Mg2 Mg 0.108 0.386 0.251
Mg3 Mg 0.251 0.108 0.386
Mg4 Mg 0.386 0.251 0.108
Mg5 Mg 0.614 0.749 0.892
Mg6 Mg 0.749 0.892 0.614
Mg7 Mg 0.892 0.614 0.749
Tl1 Tl 0.500 0.500 0.500
Pb1 Pb 0.050 0.315 0.872
Pb2 Pb 0.128 0.950 0.685
Pb3 Pb 0.191 0.528 0.657
Pb4 Pb 0.315 0.872 0.050
Pb5 Pb 0.343 0.809 0.472
Pb6 Pb 0.472 0.343 0.809
Pb7 Pb 0.528 0.657 0.191
Pb8 Pb 0.657 0.191 0.528
Pb9 Pb 0.685 0.128 0.950
Pb10 Pb 0.809 0.472 0.343
Pb11 Pb 0.872 0.050 0.315
Pb12 Pb 0.950 0.685 0.128
# SG = R-3

| no. | DFT formation energy (eV/atom) | DOS(E_F) (states/eV/atom) |
| --- | --- | --- |
| 1 | 0.036 | 0.49 |
| 2 | -0.010 | 0.40 |
| 3 | -0.039 | 0.22 |
| 4 | 0.013 | 0.46 |